DFT (PBE) results for crystalline Gd2SbIr at its relaxed geometry.

Lattice parameters (Å, degrees): 3.5554 3.5554 7.6656 90.00 90.00 90.00
Space group P4/mmm (No. 123)
Inequivalent atoms, fractional coordinates:
Gd 0.0000 0.0000 0.2176 x2
Sb 0.5000 0.5000 0.5000 x1
Ir 0.5000 0.5000 0.0000 x1

Size of the total moment (μB/f.u.): 14.00
Final energy (eV per cell): -44.33
Formation energy from raw total energies (eV per atom): -0.80
Energy above the lowest structure with this stoichiometry (kcal/mol of atoms): 0.000
D(E_F) (states/eV/cell): 1.00

---

DFT (PBE) results for crystalline GdScIr2 at its relaxed geometry.

Lattice parameters (Å, degrees): 3.2422 3.2422 7.0918 90.00 90.00 90.00
Space group P4/mmm (No. 123)
Inequivalent atoms, fractional coordinates:
Gd 0.0000 0.0000 0.0000 x1
Sc 0.0000 0.0000 0.5000 x1
Ir 0.5000 0.5000 0.2727 x2

Size of the total moment (μB/f.u.): 7.04
Final energy (eV per cell): -41.52
ΔH_f (0 K) (meV/atom): -846
D(E_F) (states/eV/cell): 0.81

---

DFT (PBE) results for crystalline GdScTcIr at its relaxed geometry.

Lattice parameters (Å, degrees): 6.6739 6.6739 6.6739 90.00 90.00 90.00
Space group F-43m (No. 216)
Inequivalent atoms, fractional coordinates:
Gd 0.0000 0.0000 0.0000 x4
Sc 0.0000 0.0000 0.5000 x4
Tc 0.2500 0.2500 0.7500 x4
Ir 0.2500 0.2500 0.2500 x4

Size of the total moment (μB/f.u.): 6.93
Final energy (eV per cell): -164.60
ΔH_f (0 K) (meV/atom): -378
D(E_F) (states/eV/cell): 15.95

---

DFT (PBE) results for crystalline GdScTlIr at its relaxed geometry.

Lattice parameters (Å, degrees): 7.0596 7.0596 7.0596 90.00 90.00 90.00
Space group F-43m (No. 216)
Inequivalent atoms, fractional coordinates:
Gd 0.0000 0.0000 0.0000 x4
Sc 0.0000 0.0000 0.5000 x4
Tl 0.2500 0.2500 0.2500 x4
Ir 0.2500 0.2500 0.7500 x4

Size of the total moment (μB/f.u.): 7.12
Final energy (eV per cell): -133.68
ΔH_f (0 K) (meV/atom): -445
D(E_F) (states/eV/cell): 8.55

---

DFT (PBE) results for crystalline GdSiIr at its relaxed geometry.

Lattice parameters (Å, degrees): 4.1300 4.1300 4.1144 90.00 90.00 120.00
Space group P-6m2 (No. 187)
Inequivalent atoms, fractional coordinates:
Gd 0.0000 0.0000 0.0000 x1
Si 0.3333 0.6667 0.5000 x1
Ir 0.6667 0.3333 0.5000 x1

Size of the total moment (μB/f.u.): 7.08
Final energy (eV per cell): -31.10
Formation energy from raw total energies (eV per atom): -0.91
D(E_F) (states/eV/cell): 3.37

---

DFT (PBE) results for crystalline SmGdIr2 at its relaxed geometry.

Lattice parameters (Å, degrees): 4.8196 4.8196 3.6290 90.00 90.00 90.00
Space group P4/mmm (No. 123)
Inequivalent atoms, fractional coordinates:
Sm 0.0000 0.0000 0.0000 x1
Gd 0.5000 0.5000 0.0000 x1
Ir 0.0000 0.5000 0.5000 x2

Size of the total moment (μB/f.u.): 7.01
Final energy (eV per cell): -39.25
ΔH_f (0 K) (meV/atom): -682
Energy above the lowest structure with this stoichiometry (kcal/mol of atoms): 0.010
D(E_F) (states/eV/cell): 1.16

---

final energy of number 2 (GdScIr2)? -41.52 eV per cell

---

Which of these has the highest final energy? GdSiIr

---

Which value of D(E_F) does entry 4 give? 8.55 states/eV/cell

---

Which value of final energy does entry 6 give? -39.25 eV per cell